First-principles (PBE) data for a geometry-optimized CeUSe3 structure, as listed in the Alexandria database.

The value obtained for the total energy is -6.64 eV/atom. Its crystal system is orthorhombic. For the size of the total moment, the calculation gives 8.01 μB per cell. The energy relative to the elements, uncorrected comes out at -5.54 eV per formula unit.

Structure (extended XYZ):
```
10
Lattice="-2.068 3.655 -3.454 4.052 -2.414 -4.981 -8.050 -4.306 0.262" Properties=species:S:1:pos:R:3 pbc="T T T"
U -2.452 0.529 -2.251
Se -1.685 -1.542 -0.623
Se 1.918 0.069 -5.355
Ce -3.747 -3.430 -1.386
Se -3.033 -1.533 -4.086
Se 0.066 1.172 -3.079
Se -5.059 -0.326 -1.596
Se -2.312 -5.178 -4.095
U -3.613 -3.595 -5.921
Ce -0.250 -3.291 -3.332
```



First-principles (PBE) data for a geometry-optimized Ce5USe8 structure, as listed in the Alexandria database.

The value obtained for the total energy is -6.64 eV/atom. Its crystal system is tetragonal. For the size of the total moment, the calculation gives 10.03 μB per cell. The energy relative to the elements, uncorrected comes out at -24.07 eV per formula unit.

Structure (extended XYZ):
```
14
Lattice="7.250 0.000 -2.530 -3.600 6.275 -2.575 -0.050 0.000 7.679" Properties=species:S:1:pos:R:3 pbc="T T T"
Se 4.741 1.576 0.275
Ce 3.158 3.911 1.292
Ce 2.225 0.786 6.399
Se -1.807 4.699 1.823
Ce 3.174 5.489 -2.538
Se 1.250 3.741 -1.044
Ce -1.357 2.364 -0.004
Ce 3.600 0.000 2.575
Se 6.665 0.644 2.830
U -0.025 3.138 3.839
Se 3.016 2.534 4.095
Se 1.077 1.575 1.561
Se -1.775 4.700 -2.060
Se 1.233 5.631 2.818
```



First-principles (PBE) data for a geometry-optimized CeU6Se8 structure, as listed in the Alexandria database.

The value obtained for the total energy is -7.91 eV/atom. Its crystal system is cubic. For the size of the total moment, the calculation gives 17.24 μB per cell. The energy relative to the elements, uncorrected comes out at -17.18 eV per formula unit.

Structure (extended XYZ):
```
15
Lattice="7.034 0.000 4.061 2.345 6.632 4.061 0.000 0.000 8.122" Properties=species:S:1:pos:R:3 pbc="T T T"
U 1.172 3.316 2.031
Se 2.447 1.730 8.122
Se 3.568 4.902 6.180
U 0.000 0.000 4.061
Se 3.568 4.902 10.065
Se 2.345 1.658 4.061
U 4.689 3.316 4.061
U 3.517 0.000 6.092
Ce 0.000 0.000 0.000
U 1.172 3.316 6.092
Se 6.932 4.902 8.122
U 3.517 0.000 2.031
Se 5.811 1.730 6.180
Se 7.034 4.974 12.184
Se 5.811 1.730 10.065
```